No. 1
This record from the Alexandria database describes a geometry-optimized NbMo3W structure. The functional is PBE-GGA.

Calculated values
energy of formation from the pure elements	-0.063	eV per atom

a = 3.1859 Å, b = 6.3864 Å, c = 8.3242 Å
α = 79.23°, β = 101.03°, γ = 90.00°
Closest atoms and distances in Å follow each position.
Sites, in units of the cell vectors:
Mo  0.8008  0.8512  0.6017  2 W 2.75, 4 Mo 2.78, 2 Nb 2.78
Mo  0.4013  0.5510  0.8026  6 Mo 2.74-2.78, 2 Nb 2.78
Mo  0.5987  0.4490  0.1974  6 Mo 2.74-2.78, 2 Nb 2.78
Mo  0.1992  0.1488  0.3983  2 W 2.75, 4 Mo 2.78, 2 Nb 2.78
Mo  0.0007  0.2504  0.0015  4 Mo 2.74-2.77, 4 W 2.74-2.77
Mo  0.9993  0.7496  0.9985  4 Mo 2.74-2.77, 4 W 2.74-2.77
Nb  0.8016  0.3467  0.6032  4 Mo 2.78, 2 W 2.78, 2 Nb 2.82
Nb  0.1984  0.6533  0.3968  4 Mo 2.78, 2 W 2.78, 2 Nb 2.82
W  0.4015  0.0451  0.8031  6 Mo 2.74-2.77, 2 Nb 2.78
W  0.5985  0.9549  0.1969  6 Mo 2.74-2.77, 2 Nb 2.78

No. 2
This record from the Alexandria database describes a geometry-optimized YFeMo2Se structure. The functional is PBE-GGA.

Calculated values
total energy	-7.491	eV/atom

a = 4.7336 Å, b = 4.3738 Å, c = 4.7336 Å
α = 90.00°, β = 90.00°, γ = 90.00°
Closest atoms and distances in Å follow each position.
Sites, in units of the cell vectors:
Fe  0.0000  0.5000  0.0000  2 Se 2.19
Y  0.5000  0.5000  0.5000  8 Mo 3.22, 4 Fe 3.35
Se  0.0000  0.0000  0.0000  2 Fe 2.19, 4 Mo 2.37
Mo  0.5000  0.0000  0.0000  2 Se 2.37
Mo  0.0000  0.0000  0.5000  2 Se 2.37